# 1
This record from the Alexandria database describes crystalline Pr6GaRu2Br3 at its relaxed geometry. The functional is PBE.

```
Pr6GaRu2Br3
1.0
3.6442 -6.3203 0.0000
3.6442 6.3203 0.0000
-2.4388 0.0000 7.8368
Pr Ga Ru Br
6 1 2 3
Cartesian
-0.0832 2.2437 6.2637
1.0592 0.0000 1.5787
-0.0832 -2.2437 6.2637
4.9328 2.2437 1.5731
3.7904 0.0000 6.2580
4.9328 -2.2437 1.5731
3.6442 0.0000 0.0000
3.6442 4.2174 0.0000
3.6442 -4.2174 0.0000
-1.2194 0.0000 3.9184
2.4248 2.0975 3.9184
2.4248 -2.0975 3.9184
```

=====

# 2
This record from the Alexandria database describes crystalline Pr4GaRuBr2 at its relaxed geometry. The functional is PBE.

```
Pr4GaRuBr2
1.0
7.5851 0.0000 0.0000
0.0000 4.1069 0.0000
-2.5131 0.0000 7.7935
Pr Ga Ru Br
4 1 1 2
Cartesian
1.0096 0.0000 2.3127
0.0002 2.0535 5.4629
5.0717 2.0535 2.3305
4.0623 0.0000 5.4808
2.5360 2.0535 3.8967
-1.2566 0.0000 3.8967
0.0000 2.0535 0.0000
3.7925 0.0000 0.0000
```

=====

# 3
This record from the Alexandria database describes crystalline Pr8GaS3Br4 at its relaxed geometry. The functional is PBE.

```
Pr8GaS3Br4
1.0
4.1774 2.4118 7.4215
-4.1774 2.4118 7.4215
0.0000 -4.8237 7.4215
Pr Ga S Br
8 1 3 4
Cartesian
-2.1488 -1.2406 12.6469
0.0000 0.0000 5.1619
0.0000 -2.4812 9.6175
-2.1488 1.2406 9.6175
2.1488 -1.2406 12.6469
0.0000 2.4812 12.6469
0.0000 0.0000 17.1025
2.1488 1.2406 9.6175
0.0000 0.0000 11.1322
-4.1774 0.0000 11.1322
-2.0887 1.2059 3.7107
2.0887 1.2059 3.7107
0.0000 0.0000 0.0000
-2.0887 -1.2059 7.4215
-2.0887 1.2059 14.8429
0.0000 2.4118 7.4214
```

=====

# 4
This record from the Alexandria database describes crystalline Pr6Ga2SeBr3 at its relaxed geometry. The functional is PBE.

```
Pr6Ga2SeBr3
1.0
3.7543 -6.4983 0.0000
3.7543 6.4983 0.0000
-2.4978 0.0000 7.2955
Pr Ga Se Br
6 2 1 3
Cartesian
-0.0164 2.1939 5.6941
1.2098 0.0000 1.5931
-0.0164 -2.1939 5.6941
5.0270 2.1939 1.6015
3.8009 0.0000 5.7025
5.0270 -2.1939 1.6015
3.7543 4.3278 0.0000
3.7543 -4.3278 0.0000
3.7543 0.0000 0.0000
-1.2489 0.0000 3.6478
2.5053 2.1852 3.6478
2.5053 -2.1852 3.6478
```

=====

The records above yield electronic total energy values of -65.14; -41.50; -83.71; -56.98 eV for the cell shown, respectively.
The records above yield volume values of 361; 243; 449; 356 Å³ per cell, respectively.
The records above yield formation energy from raw total energies values of -0.82; -0.84; -1.46; -1.15 eV per atom, respectively.